(1)
Computed, not measured: a relaxed Cs2RbTeCl6 crystal at the PBE level of DFT.

Unit cell a=13.886 b=13.886 c=13.886 alpha=35.75 beta=35.75 gamma=35.75
Positions (direct):
Cs1 0.135 0.135 0.135
Cs2 0.263 0.263 0.263
Cs3 0.737 0.737 0.737
Cs4 0.865 0.865 0.865
Rb1 0.413 0.413 0.413
Rb2 0.587 0.587 0.587
Te1 0.000 0.000 0.000
Te2 0.500 0.500 0.500
Cl1 0.117 0.641 0.641
Cl2 0.179 0.179 0.757
Cl3 0.179 0.757 0.179
Cl4 0.243 0.821 0.821
Cl5 0.359 0.359 0.883
Cl6 0.359 0.883 0.359
Cl7 0.641 0.117 0.641
Cl8 0.641 0.641 0.117
Cl9 0.757 0.179 0.179
Cl10 0.821 0.243 0.821
Cl11 0.821 0.821 0.243
Cl12 0.883 0.359 0.359

Results
- energy above the lowest structure with this stoichiometry (eV per atom) = 0.0000
- uncorrected energy (eV per atom) = -3.00
- theoretical density (Mg/m³) = 2.81
- total magnetization (μB/atom) = 0.00
- formation energy from raw total energies (eV per atom) = -1.31

---

(2)
Computed, not measured: a relaxed CsRbThCl6 crystal at the PBE level of DFT.

Unit cell a=8.161 b=8.161 c=13.654 alpha=90.00 beta=90.00 gamma=120.00
Positions (direct):
Cs1 0.000 0.000 0.000
Cs2 0.000 0.000 0.500
Rb1 0.333 0.667 0.250
Rb2 0.667 0.333 0.750
Th1 0.333 0.667 0.750
Th2 0.667 0.333 0.250
Cl1 0.058 0.397 0.638
Cl2 0.058 0.661 0.862
Cl3 0.339 0.397 0.862
Cl4 0.339 0.942 0.638
Cl5 0.397 0.058 0.138
Cl6 0.397 0.339 0.362
Cl7 0.603 0.661 0.638
Cl8 0.603 0.942 0.862
Cl9 0.661 0.058 0.362
Cl10 0.661 0.603 0.138
Cl11 0.942 0.339 0.138
Cl12 0.942 0.603 0.362

Results
- uncorrected energy (eV per atom) = -4.41
- theoretical density (Mg/m³) = 2.80
- total magnetization (μB/atom) = 0.00
- formation energy from raw total energies (eV per atom) = -2.15

---

(3)
Computed, not measured: a relaxed CsRbTi2Cl8 crystal at the PBE level of DFT.

Unit cell a=10.715 b=10.715 c=10.715 alpha=39.09 beta=39.09 gamma=39.09
Positions (direct):
Cs1 0.000 0.000 0.000
Rb1 0.500 0.500 0.500
Ti1 0.257 0.257 0.257
Ti2 0.743 0.743 0.743
Cl1 0.037 0.825 0.442
Cl2 0.175 0.558 0.963
Cl3 0.333 0.333 0.333
Cl4 0.442 0.037 0.825
Cl5 0.558 0.963 0.175
Cl6 0.667 0.667 0.667
Cl7 0.825 0.442 0.037
Cl8 0.963 0.175 0.558

Results
- uncorrected energy (eV per atom) = -4.39
- theoretical density (Mg/m³) = 2.26
- total magnetization (μB/atom) = 0.17
- formation energy from raw total energies (eV per atom) = -1.70

---

(4)
Computed, not measured: a relaxed Cs2Rb3TlCl6 crystal at the PBE level of DFT.

Unit cell a=10.748 b=10.748 c=9.623 alpha=103.02 beta=103.02 gamma=25.82
Positions (direct):
Cs1 0.165 0.165 0.330
Cs2 0.835 0.835 0.670
Rb1 0.166 0.166 0.836
Rb2 0.500 0.500 0.500
Rb3 0.834 0.834 0.164
Tl1 0.500 0.500 0.000
Cl1 0.003 0.003 0.757
Cl2 0.336 0.336 0.928
Cl3 0.337 0.337 0.408
Cl4 0.663 0.663 0.592
Cl5 0.664 0.664 0.072
Cl6 0.997 0.997 0.243

Results
- uncorrected energy (eV per atom) = -3.30
- theoretical density (Mg/m³) = 3.31
- total magnetization (μB/atom) = 0.00
- formation energy from raw total energies (eV per atom) = -1.79

---

(5)
Computed, not measured: a relaxed CsRbTlCl4 crystal at the PBE level of DFT.

Unit cell a=9.501 b=9.501 c=7.790 alpha=90.00 beta=90.00 gamma=131.74
Positions (direct):
Cs1 0.106 0.894 0.750
Cs2 0.894 0.106 0.250
Rb1 0.391 0.609 0.750
Rb2 0.609 0.391 0.250
Tl1 0.253 0.747 0.250
Tl2 0.747 0.253 0.750
Cl1 0.000 0.500 0.000
Cl2 0.000 0.500 0.500
Cl3 0.089 0.911 0.250
Cl4 0.419 0.581 0.250
Cl5 0.500 0.000 0.000
Cl6 0.500 0.000 0.500
Cl7 0.581 0.419 0.750
Cl8 0.911 0.089 0.750

Results
- uncorrected energy (eV per atom) = -3.11
- theoretical density (Mg/m³) = 3.57
- total magnetization (μB/atom) = 0.00
- formation energy from raw total energies (eV per atom) = -1.46

---

(6)
Computed, not measured: a relaxed CsRb2TlCl6 crystal at the PBE level of DFT.

Unit cell a=8.311 b=8.311 c=8.311 alpha=58.20 beta=58.20 gamma=58.20
Positions (direct):
Cs1 0.000 0.000 0.000
Rb1 0.212 0.212 0.212
Rb2 0.721 0.721 0.721
Tl1 0.510 0.510 0.510
Cl1 0.187 0.403 0.734
Cl2 0.322 0.840 0.606
Cl3 0.403 0.734 0.187
Cl4 0.606 0.322 0.840
Cl5 0.734 0.187 0.403
Cl6 0.840 0.606 0.322

Results
- uncorrected energy (eV per atom) = -3.10
- theoretical density (Mg/m³) = 3.08
- total magnetization (μB/atom) = 0.00
- formation energy from raw total energies (eV per atom) = -1.47

---

Question: Look up the total magnetization of the second one.
Answer: 0.00 μB/atom